Record 1
A plane-wave DFT calculation with PBE was carried out for a relaxed structure of KHg2Pb.

DOS(E_F)   1.55 states/eV/f.u.
Energy of formation   -15.7 kJ per mole of atoms
M_tot   0.00 μB/atom

Geometry as CIF:
```
data_KHg2Pb
_cell_length_a 7.802
_cell_length_b 5.068
_cell_length_c 12.769
_cell_angle_alpha 90.00
_cell_angle_beta 90.00
_cell_angle_gamma 90.00
_space_group_name_H-M_alt 'P n m a'
_space_group_IT_number 62
_space_group_name_Hall '-P 2ac 2n'
loop_
_atom_site_label
_atom_site_fract_x
_atom_site_fract_y
_atom_site_fract_z
K1 0.249 0.250 0.178
Hg1 0.034 0.250 0.910
Hg2 0.070 0.750 0.332
Pb1 0.170 0.250 0.467
```


Record 2
A plane-wave DFT calculation with PBE was carried out for a relaxed structure of KHg2Pb.

DOS(E_F)   1.09 states/eV/f.u.
Energy of formation   -10.2 kJ per mole of atoms
M_tot   0.00 μB/atom

Geometry as CIF:
```
data_KHg2Pb
_cell_length_a 12.879
_cell_length_b 3.750
_cell_length_c 5.648
_cell_angle_alpha 90.00
_cell_angle_beta 115.51
_cell_angle_gamma 90.00
_space_group_name_H-M_alt 'C 1 m 1'
_space_group_IT_number 8
_space_group_name_Hall 'C -2y'
loop_
_atom_site_label
_atom_site_fract_x
_atom_site_fract_y
_atom_site_fract_z
K1 0.000 0.000 0.000
Hg1 0.267 0.500 0.262
Hg2 0.481 0.000 0.482
Pb1 0.215 0.000 0.711
```


Record 3
A plane-wave DFT calculation with PBE was carried out for a relaxed structure of K3HgPb.

Energy relative to the lowest polymorph listed for this composition   0 meV per atom
DOS(E_F)   2.74 states/eV/f.u.
Energy of formation   -15.3 kJ per mole of atoms
M_tot   0.00 μB/atom

Geometry as CIF:
```
data_K3HgPb
_cell_length_a 6.102
_cell_length_b 11.302
_cell_length_c 12.105
_cell_angle_alpha 90.00
_cell_angle_beta 90.00
_cell_angle_gamma 90.00
_space_group_name_H-M_alt 'C m c m'
_space_group_IT_number 63
_space_group_name_Hall '-C 2c 2'
loop_
_atom_site_label
_atom_site_fract_x
_atom_site_fract_y
_atom_site_fract_z
K1 0.000 0.119 0.250
K2 0.000 0.185 0.590
Hg1 0.000 0.500 0.000
Pb1 0.000 0.440 0.250
```


Record 4
A plane-wave DFT calculation with PBE was carried out for a relaxed structure of KHg2Pb.

DOS(E_F)   1.79 states/eV/f.u.
Energy of formation   -11.2 kJ per mole of atoms
M_tot   0.00 μB/atom

Geometry as CIF:
```
data_KHg2Pb
_cell_length_a 7.790
_cell_length_b 7.806
_cell_length_c 4.054
_cell_angle_alpha 90.00
_cell_angle_beta 90.00
_cell_angle_gamma 90.00
_space_group_name_H-M_alt 'C m m m'
_space_group_IT_number 65
_space_group_name_Hall '-C 2 2'
loop_
_atom_site_label
_atom_site_fract_x
_atom_site_fract_y
_atom_site_fract_z
K1 0.000 0.000 0.000
Hg1 0.250 0.250 0.500
Pb1 0.000 0.500 0.000
```


Record 5
A plane-wave DFT calculation with PBE was carried out for a relaxed structure of K2HgPb2.

Energy relative to the lowest polymorph listed for this composition   97 meV per atom
DOS(E_F)   2.96 states/eV/f.u.
Energy of formation   -5.1 kJ per mole of atoms
M_tot   0.00 μB/atom

Geometry as CIF:
```
data_K2HgPb2
_cell_length_a 10.346
_cell_length_b 10.346
_cell_length_c 3.734
_cell_angle_alpha 90.00
_cell_angle_beta 90.00
_cell_angle_gamma 90.00
_space_group_name_H-M_alt 'P 4/m b m'
_space_group_IT_number 127
_space_group_name_Hall '-P 4 2ab'
loop_
_atom_site_label
_atom_site_fract_x
_atom_site_fract_y
_atom_site_fract_z
K1 0.197 0.303 0.000
Hg1 0.000 0.000 0.500
Pb1 0.100 0.600 0.500
```


Record 6
A plane-wave DFT calculation with PBE was carried out for a relaxed structure of K3Hg4Pb2.

DOS(E_F)   4.18 states/eV/f.u.
Energy of formation   -20.1 kJ per mole of atoms
M_tot   0.00 μB/atom

Geometry as CIF:
```
data_K3Hg4Pb2
_cell_length_a 12.929
_cell_length_b 5.177
_cell_length_c 10.012
_cell_angle_alpha 90.00
_cell_angle_beta 111.83
_cell_angle_gamma 90.00
_space_group_name_H-M_alt 'C 1 2/m 1'
_space_group_IT_number 12
_space_group_name_Hall '-C 2y'
loop_
_atom_site_label
_atom_site_fract_x
_atom_site_fract_y
_atom_site_fract_z
K1 0.000 0.000 0.000
K2 0.131 0.500 0.692
Hg1 0.084 0.000 0.424
Hg2 0.229 0.500 0.068
Pb1 0.165 0.500 0.337
```


Record 7
A plane-wave DFT calculation with PBE was carried out for a relaxed structure of KHgPb3.

Energy relative to the lowest polymorph listed for this composition   0 meV per atom
DOS(E_F)   1.93 states/eV/f.u.
Energy of formation   -10.8 kJ per mole of atoms
M_tot   0.00 μB/atom

Geometry as CIF:
```
data_KHgPb3
_cell_length_a 6.864
_cell_length_b 6.876
_cell_length_c 8.246
_cell_angle_alpha 90.00
_cell_angle_beta 114.50
_cell_angle_gamma 90.00
_space_group_name_H-M_alt 'C 1 m 1'
_space_group_IT_number 8
_space_group_name_Hall 'C -2y'
loop_
_atom_site_label
_atom_site_fract_x
_atom_site_fract_y
_atom_site_fract_z
K1 0.000 0.000 0.000
Hg1 0.406 0.000 0.813
Pb1 0.009 0.250 0.517
Pb2 0.116 0.500 0.230
```


Record 8
A plane-wave DFT calculation with PBE was carried out for a relaxed structure of KHg2Pb.

DOS(E_F)   2.26 states/eV/f.u.
Energy of formation   -4.2 kJ per mole of atoms
M_tot   0.00 μB/atom

Geometry as CIF:
```
data_KHg2Pb
_cell_length_a 3.8885
_cell_length_b 3.8885
_cell_length_c 30.3031
_cell_angle_alpha 90.00
_cell_angle_beta 90.00
_cell_angle_gamma 120.00
_space_group_name_H-M_alt 'R -3 m'
_space_group_IT_number 166
_space_group_name_Hall '-R 3 2"'
loop_
_atom_site_label
_atom_site_fract_x
_atom_site_fract_y
_atom_site_fract_z
K1 0.0000 0.0000 0.0000
Hg1 0.0000 0.0000 0.2455
Pb1 0.0000 0.0000 0.5000
```


Record 9
A plane-wave DFT calculation with PBE was carried out for a relaxed structure of K3Hg7Pb.

DOS(E_F)   4.35 states/eV/f.u.
Energy of formation   -17.1 kJ per mole of atoms
M_tot   0.00 μB/atom

Geometry as CIF:
```
data_K3Hg7Pb
_cell_length_a 4.570
_cell_length_b 23.704
_cell_length_c 14.328
_cell_angle_alpha 90.00
_cell_angle_beta 90.00
_cell_angle_gamma 90.00
_space_group_name_H-M_alt 'C m c m'
_space_group_IT_number 63
_space_group_name_Hall '-C 2c 2'
loop_
_atom_site_label
_atom_site_fract_x
_atom_site_fract_y
_atom_site_fract_z
K1 0.000 0.098 0.043
K2 0.000 0.240 0.750
Hg1 0.000 0.289 0.513
Hg2 0.000 0.366 0.149
Hg3 0.000 0.401 0.750
Hg4 0.000 0.493 0.105
Pb1 0.000 0.038 0.750
```


Record 10
A plane-wave DFT calculation with PBE was carried out for a relaxed structure of K8Hg2Pb.

DOS(E_F)   8.18 states/eV/f.u.
Energy of formation   -10.3 kJ per mole of atoms
M_tot   0.00 μB/atom

Geometry as CIF:
```
data_K8Hg2Pb
_cell_length_a 21.732
_cell_length_b 6.278
_cell_length_c 8.479
_cell_angle_alpha 90.00
_cell_angle_beta 109.83
_cell_angle_gamma 90.00
_space_group_name_H-M_alt 'C 1 2/m 1'
_space_group_IT_number 12
_space_group_name_Hall '-C 2y'
loop_
_atom_site_label
_atom_site_fract_x
_atom_site_fract_y
_atom_site_fract_z
K1 0.027 0.000 0.299
K2 0.095 0.500 0.947
K3 0.164 0.500 0.462
K4 0.196 0.000 0.795
Hg1 0.178 0.000 0.205
Pb1 0.000 0.500 0.500
```


Record 11
A plane-wave DFT calculation with PBE was carried out for a relaxed structure of K4HgPb4.

DOS(E_F)   5.33 states/eV/f.u.
Energy of formation   -7.8 kJ per mole of atoms
M_tot   0.00 μB/atom

Geometry as CIF:
```
data_K4HgPb4
_cell_length_a 5.848
_cell_length_b 5.848
_cell_length_c 22.411
_cell_angle_alpha 90.00
_cell_angle_beta 90.00
_cell_angle_gamma 90.00
_space_group_name_H-M_alt 'I -4 2 m'
_space_group_IT_number 121
_space_group_name_Hall 'I -4 2'
loop_
_atom_site_label
_atom_site_fract_x
_atom_site_fract_y
_atom_site_fract_z
K1 0.226 0.226 0.111
Hg1 0.000 0.000 0.500
Pb1 0.220 0.220 0.285
```


Record 12
A plane-wave DFT calculation with PBE was carried out for a relaxed structure of K4HgPb.

Energy relative to the lowest polymorph listed for this composition   282 meV per atom
DOS(E_F)   4.43 states/eV/f.u.
Energy of formation   16.1 kJ per mole of atoms
M_tot   0.00 μB/atom

Geometry as CIF:
```
data_K4HgPb
_cell_length_a 10.202
_cell_length_b 10.202
_cell_length_c 10.202
_cell_angle_alpha 90.00
_cell_angle_beta 90.00
_cell_angle_gamma 90.00
_space_group_name_H-M_alt 'F -4 3 m'
_space_group_IT_number 216
_space_group_name_Hall 'F -4 2 3'
loop_
_atom_site_label
_atom_site_fract_x
_atom_site_fract_y
_atom_site_fract_z
K1 0.124 0.124 0.124
Hg1 0.000 0.000 0.500
Pb1 0.250 0.250 0.750
```